Li2NiCl5 | PBE | optimized geometry

Calculated values
- Uncorrected formation energy: -1.1114 eV/atom
- Total magnetic moment: 0.000 μB/f.u.
- Calculated total energy: -0.1274 Ha/atom

The structure in POSCAR format:
```
Li2NiCl5
1.0
2.4869 -6.1090 0.0000
2.4869 6.1090 0.0000
0.0000 0.0000 11.2241
Li Ni Cl
4 2 10
direct
0.1707 0.8293 0.5691
0.1707 0.8293 0.9309
0.8293 0.1707 0.0691
0.8293 0.1707 0.4309
0.1941 0.8059 0.2500
0.8059 0.1941 0.7500
0.0643 0.9357 0.1138
0.0643 0.9357 0.3862
0.2928 0.7072 0.7500
0.3209 0.6791 0.1042
0.3209 0.6791 0.3958
0.6791 0.3209 0.6042
0.6791 0.3209 0.8958
0.7072 0.2928 0.2500
0.9357 0.0643 0.6138
0.9357 0.0643 0.8862
```